w:
Here is CaScCl2 at its PBEsol-relaxed geometry from Alexandria via LeMat-Bulk. Energies are from SCAN. Values from VASP.

Structure (Quantum ESPRESSO input):
```
&SYSTEM
  ibrav = 0, nat = 4, ntyp = 3
/
ATOMIC_SPECIES
Cl 35.45 Cl.upf
Sc 44.96 Sc.upf
Ca 40.08 Ca.upf
CELL_PARAMETERS angstrom
-0.005 3.300 -0.191
-1.081 -0.266 -4.573
-4.581 0.055 1.080
ATOMIC_POSITIONS crystal
Cl 0.000 0.000 0.500
Sc 0.500 0.500 0.500
Ca 0.500 0.000 0.000
Cl 0.000 0.500 0.000
```

## Properties
* D(E_F): 2.11 states/eV/cell
* V: 73.2 Å³/f.u.
* space group: P4/mmm (123)

x:
Here is CaScCl2 at its PBEsol-relaxed geometry from Alexandria via LeMat-Bulk. Energies are from SCAN. Values from VASP.

Structure (Quantum ESPRESSO input):
```
&SYSTEM
  ibrav = 0, nat = 4, ntyp = 3
/
ATOMIC_SPECIES
Cl 35.45 Cl.upf
Sc 44.96 Sc.upf
Ca 40.08 Ca.upf
CELL_PARAMETERS angstrom
3.441 0.000 0.000
-1.721 4.036 -0.022
0.000 -1.488 5.820
ATOMIC_POSITIONS crystal
Cl 0.259 0.517 0.274
Sc 0.000 0.000 0.500
Ca 0.500 0.000 0.000
Cl 0.741 0.483 0.726
```

## Properties
* D(E_F): 3.04 states/eV/cell
* V: 80.7 Å³/f.u.
* space group: C2/m (12)

y:
Here is CaScCl2 at its PBEsol-relaxed geometry from Alexandria via LeMat-Bulk. Energies are from SCAN. Values from VASP.

Structure (Quantum ESPRESSO input):
```
&SYSTEM
  ibrav = 0, nat = 4, ntyp = 3
/
ATOMIC_SPECIES
Sc 44.96 Sc.upf
Ca 40.08 Ca.upf
Cl 35.45 Cl.upf
CELL_PARAMETERS angstrom
3.457 0.000 0.000
1.729 2.994 0.000
1.729 0.998 8.375
ATOMIC_POSITIONS crystal
Sc 0.000 0.000 0.000
Ca 0.500 0.500 0.500
Cl 0.265 0.265 0.206
Cl 0.735 0.735 0.794
```

## Properties
* D(E_F): 3.30 states/eV/cell
* V: 86.7 Å³/f.u.
* space group: R-3m (166)

Which of them is least stable? Easy: w.

w:
Here is Ca2ScCl at its PBEsol-relaxed geometry from Alexandria via LeMat-Bulk. Energies are from SCAN. Values from VASP.

Structure (Quantum ESPRESSO input):
```
&SYSTEM
  ibrav = 0, nat = 4, ntyp = 3
/
ATOMIC_SPECIES
Sc 44.96 Sc.upf
Ca 40.08 Ca.upf
Cl 35.45 Cl.upf
CELL_PARAMETERS angstrom
3.470 0.000 0.000
0.000 6.034 -0.290
-1.735 -3.097 5.567
ATOMIC_POSITIONS crystal
Sc 0.187 0.620 0.375
Ca 0.789 0.241 0.577
Cl 0.548 0.686 0.096
Ca 0.976 0.953 0.951
```

## Properties
* D(E_F): 3.43 states/eV/cell
* V: 113.4 Å³/f.u.
* space group: Cm (8)

x:
Here is Ca2ScCl at its PBEsol-relaxed geometry from Alexandria via LeMat-Bulk. Energies are from SCAN. Values from VASP.

Structure (Quantum ESPRESSO input):
```
&SYSTEM
  ibrav = 0, nat = 4, ntyp = 3
/
ATOMIC_SPECIES
Cl 35.45 Cl.upf
Ca 40.08 Ca.upf
Sc 44.96 Sc.upf
CELL_PARAMETERS angstrom
-3.497 -0.103 -0.086
1.958 -6.037 -1.192
-0.211 2.135 6.039
ATOMIC_POSITIONS crystal
Cl 0.500 0.000 0.000
Ca 0.797 0.593 0.797
Sc 0.000 0.000 0.500
Ca 0.203 0.407 0.203
```

## Properties
* D(E_F): 3.97 states/eV/cell
* V: 119.5 Å³/f.u.
* space group: Immm (71)

Which of them is least stable? Easy: x.

w:
Here is CaTaCl2 at its PBEsol-relaxed geometry from Alexandria via LeMat-Bulk. Energies are from SCAN. Values from VASP.

Structure (Quantum ESPRESSO input):
```
&SYSTEM
  ibrav = 0, nat = 4, ntyp = 3
/
ATOMIC_SPECIES
Cl 35.45 Cl.upf
Ca 40.08 Ca.upf
Ta 180.95 Ta.upf
CELL_PARAMETERS angstrom
3.155 0.000 0.000
0.000 3.155 0.000
0.000 0.000 10.075
ATOMIC_POSITIONS crystal
Cl 0.000 0.000 0.341
Ca 0.500 0.500 0.500
Cl 0.000 0.000 0.659
Ta 0.500 0.500 0.000
```

## Properties
* D(E_F): 1.90 states/eV/cell
* V: 100.3 Å³/f.u.
* space group: P4/mmm (123)

x:
Here is CaTaCl2 at its PBEsol-relaxed geometry from Alexandria via LeMat-Bulk. Energies are from SCAN. Values from VASP.

Structure (Quantum ESPRESSO input):
```
&SYSTEM
  ibrav = 0, nat = 4, ntyp = 3
/
ATOMIC_SPECIES
Ca 40.08 Ca.upf
Cl 35.45 Cl.upf
Ta 180.95 Ta.upf
CELL_PARAMETERS angstrom
3.650 0.000 0.000
0.000 3.650 0.000
-1.825 -1.825 6.322
ATOMIC_POSITIONS crystal
Ca 0.250 0.750 0.500
Cl 0.000 0.000 0.000
Ta 0.500 0.500 0.000
Cl 0.750 0.250 0.500
```

## Properties
* D(E_F): 2.76 states/eV/cell
* V: 84.2 Å³/f.u.
* space group: I-4m2 (119)

Which of them is least stable? Easy: x.